No. 1
{"formula": "Ta3V5Ga2", "functional": "PBE", "state": "relaxed", "lattice": [[5.3194, 0.0000, 0.0000], [2.6597, 7.9292, 0.0005], [2.6597, 2.1046, 7.6448]], "species": ["Ta", "Ta", "Ta", "Ta", "Ta", "Ta", "V", "V", "V", "V", "V", "V", "V", "V", "V", "V", "Ga", "Ga", "Ga", "Ga"], "fractional_positions": [[0.6725, 0.5610, 0.0941], [0.1725, 0.0941, 0.5610], [0.8275, 0.9059, 0.4390], [0.2500, 0.0000, 0.0000], [0.7500, 0.0000, 0.0000], [0.3275, 0.4390, 0.9059], [0.4461, 0.8039, 0.8039], [0.6577, 0.2964, 0.3881], [0.7500, 0.5000, 0.5000], [0.9461, 0.8039, 0.8039], [0.8423, 0.6119, 0.7036], [0.1577, 0.3881, 0.2964], [0.2500, 0.5000, 0.5000], [0.5539, 0.1961, 0.1961], [0.0539, 0.1961, 0.1961], [0.3423, 0.7036, 0.6119], [0.0932, 0.6920, 0.1217], [0.5932, 0.1217, 0.6920], [0.4068, 0.8783, 0.3080], [0.9068, 0.3080, 0.8783]], "crystal_system": "orthorhombic", "vol_a3_per_cell": 322.4, "dft_energy_ev_per_atom": -8.508}

---

No. 2
{"formula": "LaPm3NdTh", "functional": "PBE", "state": "relaxed", "lattice": [[5.1606, 0.0000, 0.0000], [0.0000, 8.0950, -1.2383], [0.0000, -3.3202, 10.4689]], "species": ["Th", "Th", "Pm", "Pm", "Pm", "Pm", "Pm", "Pm", "La", "La", "Nd", "Nd"], "fractional_positions": [[0.7500, 0.3798, 0.8796], [0.2500, 0.6202, 0.1204], [0.7500, 0.3831, 0.2032], [0.2500, 0.6245, 0.4535], [0.7500, 0.8625, 0.0418], [0.7500, 0.3755, 0.5465], [0.2500, 0.6169, 0.7968], [0.2500, 0.1375, 0.9582], [0.7500, 0.8803, 0.7097], [0.2500, 0.1197, 0.2903], [0.2500, 0.1308, 0.6305], [0.7500, 0.8692, 0.3695]], "crystal_system": "monoclinic", "vol_a3_per_cell": 416.1, "dft_energy_ev_per_atom": -5.194}

---

No. 3
{"formula": "PmMg3Al", "functional": "PBE", "state": "relaxed", "lattice": [[3.6600, 0.0000, 0.0000], [0.0000, 4.9111, 0.0000], [0.0000, -2.4555, 14.0568]], "species": ["Mg", "Mg", "Mg", "Mg", "Mg", "Mg", "Pm", "Pm", "Al", "Al"], "fractional_positions": [[0.0000, 0.2747, 0.5494], [0.5000, 0.5516, 0.1032], [0.5000, 0.4484, 0.8968], [0.0000, 0.7253, 0.4506], [0.0000, 0.9401, 0.8802], [0.0000, 0.0599, 0.1198], [0.5000, 0.1623, 0.3247], [0.5000, 0.8377, 0.6753], [0.0000, 0.3724, 0.7449], [0.0000, 0.6276, 0.2551]], "crystal_system": "orthorhombic", "vol_a3_per_cell": 252.7, "dft_energy_ev_per_atom": -2.709}

---

No. 4
{"formula": "As2P2Pb", "functional": "PBE", "state": "relaxed", "lattice": [[4.8182, 0.0000, 0.0000], [0.0000, 4.8182, 0.0000], [2.4091, 2.4091, 4.7410]], "species": ["P", "P", "As", "As", "Pb"], "fractional_positions": [[0.7500, 0.2500, 0.5000], [0.2500, 0.7500, 0.5000], [0.3409, 0.3409, 0.3183], [0.6591, 0.6591, 0.6817], [0.0000, 0.0000, 0.0000]], "crystal_system": "tetragonal", "relative_energy_mev_per_atom": 0.0, "vol_a3_per_cell": 110.1}

---

Repeat the fourth record exactly.
{"formula": "As2P2Pb", "functional": "PBE", "state": "relaxed", "lattice": [[4.8182, 0.0000, 0.0000], [0.0000, 4.8182, 0.0000], [2.4091, 2.4091, 4.7410]], "species": ["P", "P", "As", "As", "Pb"], "fractional_positions": [[0.7500, 0.2500, 0.5000], [0.2500, 0.7500, 0.5000], [0.3409, 0.3409, 0.3183], [0.6591, 0.6591, 0.6817], [0.0000, 0.0000, 0.0000]], "crystal_system": "tetragonal", "relative_energy_mev_per_atom": 0.0, "vol_a3_per_cell": 110.1}